1.
# PBE La2PmZn2, relaxed
data_La2PmZn2
_chemical_formula_sum 'La4 Pm2 Zn4'
_symmetry_space_group_name_H-M 'P 1 21/m 1'
_symmetry_Int_Tables_number 11
_cell_length_a 3.766
_cell_length_b 5.302
_cell_length_c 14.105
_cell_angle_alpha 90.00
_cell_angle_beta 97.68
_cell_angle_gamma 90.00
loop_
_symmetry_equiv_pos_as_xyz
'x,y,z'
'-x,-y,-z'
'-x,y+1/2,-z'
'x,-y+1/2,z'
loop_
_atom_site_label
_atom_site_type_symbol
_atom_site_fract_x
_atom_site_fract_y
_atom_site_fract_z
_atom_site_occupancy
La1 La 0.045 0.250 0.089 1
La2 La 0.230 0.250 0.462 1
Pm1 Pm 0.142 0.750 0.282 1
Zn1 Zn 0.361 0.750 0.723 1
Zn2 Zn 0.448 0.250 0.896 1
# Total moment, μB per atom: 0.000
# E_form, eV/atom: -0.2312
# Total energy, eV/atom: -3.662
# Calculated volume, Å³/f.u.: 139.6

***

2.
# PBE SrMgW2, relaxed
data_SrMgW2
_chemical_formula_sum 'Sr2 Mg2 W4'
_symmetry_space_group_name_H-M 'C m m 2'
_symmetry_Int_Tables_number 35
_cell_length_a 3.374
_cell_length_b 4.880
_cell_length_c 10.260
_cell_angle_alpha 90.00
_cell_angle_beta 90.00
_cell_angle_gamma 90.00
loop_
_symmetry_equiv_pos_as_xyz
'x,y,z'
'-x,-y,z'
'-x,y,z'
'x,-y,z'
'x+1/2,y+1/2,z'
'-x+1/2,-y+1/2,z'
'-x+1/2,y+1/2,z'
'x+1/2,-y+1/2,z'
loop_
_atom_site_label
_atom_site_type_symbol
_atom_site_fract_x
_atom_site_fract_y
_atom_site_fract_z
_atom_site_occupancy
Sr1 Sr 0.000 0.000 0.000 1
Mg1 Mg 0.000 0.500 0.306 1
W1 W 0.000 0.000 0.538 1
W2 W 0.000 0.500 0.729 1
# Total moment, μB per atom: 0.000
# E_form, eV/atom: 0.6999
# Total energy, eV/atom: -6.596
# Calculated volume, Å³/f.u.: 84.5

***

3.
# PBE Na2PuTlBr6, relaxed
data_Na2PuTlBr6
_chemical_formula_sum 'Na6 Pu3 Tl3 Br18'
_symmetry_space_group_name_H-M 'R 3'
_symmetry_Int_Tables_number 146
_symmetry_space_group_name_Hall 'R 3'
_cell_length_a 7.6169
_cell_length_b 7.6169
_cell_length_c 21.1443
_cell_angle_alpha 90.00
_cell_angle_beta 90.00
_cell_angle_gamma 120.00
loop_
_atom_site_label
_atom_site_type_symbol
_atom_site_fract_x
_atom_site_fract_y
_atom_site_fract_z
_atom_site_occupancy
Na1 Na 0.0000 0.0000 0.0000 1
Na2 Na 0.0000 0.0000 0.4865 1
Pu1 Pu 0.0000 0.0000 0.6789 1
Tl1 Tl 0.0000 0.0000 0.1952 1
Br1 Br 0.0046 0.3480 0.4171 1
Br2 Br 0.0232 0.6200 0.2568 1
# Total moment, μB per atom: 0.500
# Total energy, eV/atom: -4.336
# Calculated volume, Å³/f.u.: 354.2
# Formation energy from raw total energies, kJ/mol of atoms: -135

***

4.
# PBE YHo5Mg, relaxed
data_YHo5Mg
_chemical_formula_sum 'Y4 Ho20 Mg4'
_symmetry_space_group_name_H-M 'C 1 2/c 1'
_symmetry_Int_Tables_number 15
_cell_length_a 15.443
_cell_length_b 6.400
_cell_length_c 11.009
_cell_angle_alpha 90.00
_cell_angle_beta 126.71
_cell_angle_gamma 90.00
loop_
_symmetry_equiv_pos_as_xyz
'x,y,z'
'-x,-y,-z'
'-x,y,-z+1/2'
'x,-y,z+1/2'
'x+1/2,y+1/2,z'
'-x+1/2,-y+1/2,-z'
'-x+1/2,y+1/2,-z+1/2'
'x+1/2,-y+1/2,z+1/2'
loop_
_atom_site_label
_atom_site_type_symbol
_atom_site_fract_x
_atom_site_fract_y
_atom_site_fract_z
_atom_site_occupancy
Y1 Y 0.000 0.007 0.250 1
Ho1 Ho 0.000 0.496 0.250 1
Ho2 Ho 0.080 0.254 0.573 1
Ho3 Ho 0.186 0.247 0.097 1
Mg1 Mg 0.250 0.250 0.500 1
# Total moment, μB per atom: 0.000
# E_form, eV/atom: 0.1980
# Total energy, eV/atom: -4.223
# Calculated volume, Å³/f.u.: 218.1